# 1
Here is a relaxed HfReMoOs crystal from the Alexandria database. Energies are from PBE.

a b c (Å): 4.516 4.516 4.516
angles (deg): 60.00 60.00 60.00
Element x y z (fractional)
Os 0.250 0.250 0.250
Re 0.750 0.750 0.750
Hf 0.500 0.500 0.500
Mo 0.000 0.000 0.000

Computed properties:
D(E_F), states/eV/f.u.: 3.2
Total magnetization, μB per cell: 0.0
Crystal system: cubic
Energy of formation from the pure elements, meV per atom: -151

---

# 2
Here is a relaxed HfMoOsS2 crystal from the Alexandria database. Energies are from PBE.

a b c (Å): 4.704 5.211 4.704
angles (deg): 90.00 90.00 90.00
Element x y z (fractional)
S 0.000 0.000 0.500
Mo 0.000 0.500 0.000
Hf 0.000 0.000 0.000
S 0.500 0.000 0.000
Os 0.500 0.500 0.500

Computed properties:
D(E_F), states/eV/f.u.: 7.4
Total magnetization, μB per cell: 4.5
Crystal system: tetragonal
Formation energy without anion corrections, eV per atom: 1.523

---

# 3
Here is a relaxed HfSbMo2Os crystal from the Alexandria database. Energies are from PBE.

a b c (Å): 4.788 4.917 4.788
angles (deg): 90.00 90.00 90.00
Element x y z (fractional)
Os 0.000 0.000 0.000
Sb 0.000 0.500 0.000
Mo 0.500 0.000 0.000
Mo 0.000 0.000 0.500
Hf 0.500 0.500 0.500

Computed properties:
D(E_F), states/eV/f.u.: 5.2
Total magnetization, μB per cell: 0.0
Crystal system: tetragonal
Formation energy without anion corrections, eV per atom: 1.287

---

# 4
Here is a relaxed HfTcMoOs2 crystal from the Alexandria database. Energies are from PBE.

a b c (Å): 4.673 4.585 4.673
angles (deg): 90.00 90.00 90.00
Element x y z (fractional)
Hf 0.500 0.500 0.500
Tc 0.000 0.500 0.000
Os 0.000 0.000 0.500
Mo 0.000 0.000 0.000
Os 0.500 0.000 0.000

Computed properties:
D(E_F), states/eV/f.u.: 3.9
Total magnetization, μB per cell: 0.0
Crystal system: tetragonal
Energy of formation from the pure elements, meV per atom: 1415

---

# 5
Here is a relaxed HfTcMoOs crystal from the Alexandria database. Energies are from PBE.

a b c (Å): 4.507 4.507 4.507
angles (deg): 60.00 60.00 60.00
Element x y z (fractional)
Hf 0.000 0.000 0.000
Os 0.250 0.250 0.250
Tc 0.750 0.750 0.750
Mo 0.500 0.500 0.500

Computed properties:
D(E_F), states/eV/f.u.: 3.2
Total magnetization, μB per cell: 0.0
Crystal system: cubic
Energy of formation from the pure elements, meV per atom: -217

---

# 6
Here is a relaxed HfTiMoOs crystal from the Alexandria database. Energies are from PBE.

a b c (Å): 4.531 4.531 4.531
angles (deg): 60.00 60.00 60.00
Element x y z (fractional)
Os 0.500 0.500 0.500
Hf 0.750 0.750 0.750
Ti 0.250 0.250 0.250
Mo 0.000 0.000 0.000

Computed properties:
D(E_F), states/eV/f.u.: 4.9
Total magnetization, μB per cell: 0.0
Crystal system: cubic
Energy of formation from the pure elements, meV per atom: -359

---

# 7
Here is a relaxed HfUMoOs crystal from the Alexandria database. Energies are from PBE.

a b c (Å): 4.725 4.725 4.725
angles (deg): 60.00 60.00 60.00
Element x y z (fractional)
Hf 0.500 0.500 0.500
U 0.000 0.000 0.000
Mo 0.250 0.250 0.250
Os 0.750 0.750 0.750

Computed properties:
D(E_F), states/eV/f.u.: 8.7
Total magnetization, μB per cell: 1.4
Crystal system: cubic
Energy of formation from the pure elements, meV per atom: -81

---

# 8
Here is a relaxed HfVMoOs crystal from the Alexandria database. Energies are from PBE.

a b c (Å): 4.473 4.473 4.473
angles (deg): 60.00 60.00 60.00
Element x y z (fractional)
Hf 0.250 0.250 0.250
Os 0.500 0.500 0.500
V 0.750 0.750 0.750
Mo 0.000 0.000 0.000

Computed properties:
D(E_F), states/eV/f.u.: 2.6
Total magnetization, μB per cell: 0.0
Crystal system: cubic
Energy of formation from the pure elements, meV per atom: -279

---

# 9
Here is a relaxed HfMoP crystal from the Alexandria database. Energies are from PBE.

a b c (Å): 3.448 6.843 12.220
angles (deg): 90.00 90.00 90.00
Element x y z (fractional)
P 0.500 0.071 0.401
P 0.500 0.929 0.599
P 0.000 0.437 0.750
Hf 0.000 0.234 0.547
P 0.500 0.071 0.099
Hf 0.000 0.766 0.453
Mo 0.500 0.439 0.377
Hf 0.000 0.234 0.953
P 0.500 0.929 0.901
Hf 0.000 0.827 0.750
Mo 0.500 0.561 0.623
Mo 0.500 0.561 0.877
P 0.000 0.563 0.250
Mo 0.500 0.439 0.123
Hf 0.000 0.173 0.250
Mo 0.500 0.182 0.750
Mo 0.500 0.818 0.250
Hf 0.000 0.766 0.047

Computed properties:
D(E_F), states/eV/f.u.: 1.5
Total magnetization, μB per cell: 0.0
Crystal system: orthorhombic
Energy above the lowest structure with this stoichiometry, eV/atom: 0.125
Energy of formation from the pure elements, meV per atom: -850

---

# 10
Here is a relaxed Hf9Mo4P crystal from the Alexandria database. Energies are from PBE.

a b c (Å): 8.640 8.640 8.620
angles (deg): 90.00 90.00 120.00
Element x y z (fractional)
Hf 0.198 0.802 0.047
P 0.667 0.333 0.750
Hf 0.396 0.198 0.547
Mo 0.779 0.889 0.750
Hf 0.604 0.802 0.047
Hf 0.802 0.198 0.547
Mo 0.111 0.889 0.750
Hf 0.461 0.539 0.750
Mo 0.221 0.111 0.250
Hf 0.802 0.604 0.953
Hf 0.198 0.396 0.047
Hf 0.802 0.198 0.953
Hf 0.396 0.198 0.953
Mo 0.889 0.779 0.250
Mo 0.000 0.000 0.500
Mo 0.889 0.111 0.250
Hf 0.604 0.802 0.453
Hf 0.802 0.604 0.547
Hf 0.461 0.922 0.750
Hf 0.539 0.461 0.250
Hf 0.198 0.802 0.453
Hf 0.922 0.461 0.250
Mo 0.000 0.000 0.000
Mo 0.111 0.221 0.750
Hf 0.078 0.539 0.750
P 0.333 0.667 0.250
Hf 0.198 0.396 0.453
Hf 0.539 0.078 0.250

Computed properties:
D(E_F), states/eV/f.u.: 11.2
Total magnetization, μB per cell: 0.0
Crystal system: hexagonal
Energy of formation from the pure elements, meV per atom: -312

---

# 11
Here is a relaxed HfMo2P crystal from the Alexandria database. Energies are from PBE.

a b c (Å): 7.556 7.556 5.907
angles (deg): 50.24 50.24 90.00
Element x y z (fractional)
Mo 0.537 0.125 0.250
Hf 0.000 0.000 0.000
Mo 0.213 0.625 0.250
Hf 0.750 0.250 0.500
Mo 0.875 0.787 0.750
P 0.250 0.750 0.500
P 0.500 0.500 0.000
Mo 0.375 0.463 0.750

Computed properties:
D(E_F), states/eV/f.u.: 4.0
Total magnetization, μB per cell: 0.0
Crystal system: tetragonal
Energy of formation from the pure elements, meV per atom: 0

---

# 12
Here is a relaxed HfMoP crystal from the Alexandria database. Energies are from PBE.

a b c (Å): 6.929 6.929 3.413
angles (deg): 90.00 90.00 120.00
Element x y z (fractional)
Hf 0.403 0.403 0.500
Hf 0.000 0.597 0.500
Hf 0.597 0.000 0.500
Mo 0.253 0.000 0.000
Mo 0.000 0.253 0.000
P 0.667 0.333 0.000
P 0.000 0.000 0.500
P 0.333 0.667 0.000
Mo 0.747 0.747 0.000

Computed properties:
D(E_F), states/eV/f.u.: 1.1
Total magnetization, μB per cell: 0.0
Crystal system: hexagonal
Energy above the lowest structure with this stoichiometry, eV/atom: 0.000
Energy of formation from the pure elements, meV per atom: -975

---

# 13
Here is a relaxed HfMo3P crystal from the Alexandria database. Energies are from PBE.

a b c (Å): 4.788 4.788 4.788
angles (deg): 90.00 90.00 90.00
Element x y z (fractional)
Mo 0.000 0.000 0.500
P 0.500 0.500 0.500
Mo 0.000 0.500 0.000
Hf 0.000 0.000 0.000
Mo 0.500 0.000 0.000

Computed properties:
D(E_F), states/eV/f.u.: 5.8
Total magnetization, μB per cell: 0.0
Crystal system: cubic
Energy above the lowest structure with this stoichiometry, eV/atom: 2.013
Energy of formation from the pure elements, meV per atom: 2237

---

# 14
Here is a relaxed HfMo2P2 crystal from the Alexandria database. Energies are from PBE.

a b c (Å): 6.957 6.957 3.141
angles (deg): 90.00 90.00 90.00
Element x y z (fractional)
P 0.854 0.646 0.000
Hf 0.500 0.500 0.000
Mo 0.855 0.355 0.500
P 0.646 0.146 0.000
Mo 0.355 0.145 0.500
P 0.146 0.354 0.000
P 0.354 0.854 0.000
Mo 0.145 0.645 0.500
Mo 0.645 0.855 0.500
Hf 0.000 0.000 0.000

Computed properties:
D(E_F), states/eV/f.u.: 4.8
Total magnetization, μB per cell: 0.0
Crystal system: tetragonal
Energy of formation from the pure elements, meV per atom: -483

---

# 15
Here is a relaxed HfMo3P crystal from the Alexandria database. Energies are from PBE.

a b c (Å): 4.488 4.488 4.488
angles (deg): 90.00 90.00 90.00
Element x y z (fractional)
Hf 0.500 0.500 0.500
Mo 0.000 0.500 0.000
Mo 0.500 0.000 0.000
P 0.000 0.000 0.000
Mo 0.000 0.000 0.500

Computed properties:
D(E_F), states/eV/f.u.: 8.6
Total magnetization, μB per cell: 0.0
Crystal system: cubic
Energy above the lowest structure with this stoichiometry, eV/atom: 0.000
Energy of formation from the pure elements, meV per atom: 224

---

# 16
Here is a relaxed HfMoP crystal from the Alexandria database. Energies are from PBE.

a b c (Å): 3.231 9.471 7.138
angles (deg): 77.09 103.08 90.00
Element x y z (fractional)
P 0.394 0.452 0.789
Hf 0.934 0.659 0.868
Hf 0.426 0.165 0.852
Mo 0.758 0.879 0.517
Mo 0.783 0.371 0.567
Mo 0.217 0.629 0.433
Hf 0.066 0.341 0.132
P 0.385 0.899 0.770
P 0.615 0.101 0.230
Mo 0.242 0.121 0.483
P 0.606 0.548 0.211
Hf 0.574 0.835 0.148

Computed properties:
D(E_F), states/eV/f.u.: 1.9
Total magnetization, μB per cell: 0.0
Crystal system: monoclinic
Energy above the lowest structure with this stoichiometry, eV/atom: 0.497
Energy of formation from the pure elements, meV per atom: -478

---

# 17
Here is a relaxed HfMoPS2 crystal from the Alexandria database. Energies are from PBE.

a b c (Å): 4.833 4.833 5.091
angles (deg): 90.00 90.00 90.00
Element x y z (fractional)
S 0.500 0.000 0.000
S 0.000 0.500 0.000
P 0.000 0.000 0.500
Mo 0.500 0.500 0.500
Hf 0.000 0.000 0.000

Computed properties:
D(E_F), states/eV/f.u.: 3.3
Total magnetization, μB per cell: 3.2
Crystal system: tetragonal
Energy above the lowest structure with this stoichiometry, eV/atom: 0.085
Formation energy without anion corrections, eV per atom: 0.346

---

# 18
Here is a relaxed HfMoP2S crystal from the Alexandria database. Energies are from PBE.

a b c (Å): 4.696 4.696 4.534
angles (deg): 90.00 90.00 90.00
Element x y z (fractional)
P 0.000 0.500 0.000
P 0.500 0.000 0.000
S 0.000 0.000 0.500
Hf 0.500 0.500 0.500
Mo 0.000 0.000 0.000

Computed properties:
D(E_F), states/eV/f.u.: 5.0
Total magnetization, μB per cell: 0.0
Crystal system: tetragonal
Energy above the lowest structure with this stoichiometry, eV/atom: 0.000
Formation energy without anion corrections, eV per atom: 0.392

---

# 19
Here is a relaxed HfMoP2S crystal from the Alexandria database. Energies are from PBE.

a b c (Å): 4.971 4.971 4.810
angles (deg): 90.00 90.00 90.00
Element x y z (fractional)
Mo 0.500 0.500 0.500
Hf 0.000 0.000 0.000
P 0.500 0.000 0.000
P 0.000 0.500 0.000
S 0.000 0.000 0.500

Computed properties:
D(E_F), states/eV/f.u.: 2.8
Total magnetization, μB per cell: 2.9
Crystal system: tetragonal
Energy above the lowest structure with this stoichiometry, eV/atom: 0.250
Formation energy without anion corrections, eV per atom: 0.643

---

# 20
Here is a relaxed HfMoPS2 crystal from the Alexandria database. Energies are from PBE.

a b c (Å): 4.546 4.546 4.847
angles (deg): 90.00 90.00 90.00
Element x y z (fractional)
Hf 0.500 0.500 0.500
P 0.000 0.000 0.500
Mo 0.000 0.000 0.000
S 0.000 0.500 0.000
S 0.500 0.000 0.000

Computed properties:
D(E_F), states/eV/f.u.: 4.5
Total magnetization, μB per cell: 0.0
Crystal system: tetragonal
Energy above the lowest structure with this stoichiometry, eV/atom: 0.000
Formation energy without anion corrections, eV per atom: 0.261

---

# 21
Here is a relaxed HfSb2MoP crystal from the Alexandria database. Energies are from PBE.

a b c (Å): 5.342 4.450 5.342
angles (deg): 90.00 90.00 90.00
Element x y z (fractional)
P 0.000 0.500 0.000
Mo 0.000 0.000 0.000
Hf 0.500 0.500 0.500
Sb 0.500 0.000 0.000
Sb 0.000 0.000 0.500

Computed properties:
D(E_F), states/eV/f.u.: 5.7
Total magnetization, μB per cell: 0.0
Crystal system: tetragonal
Formation energy without anion corrections, eV per atom: 0.666

---

# 22
Here is a relaxed Hf2TcMoP crystal from the Alexandria database. Energies are from PBE.

a b c (Å): 4.818 4.818 4.220
angles (deg): 90.00 90.00 90.00
Element x y z (fractional)
Mo 0.500 0.500 0.500
Tc 0.000 0.000 0.500
Hf 0.500 0.000 0.000
Hf 0.000 0.500 0.000
P 0.000 0.000 0.000

Computed properties:
D(E_F), states/eV/f.u.: 5.0
Total magnetization, μB per cell: 0.0
Crystal system: tetragonal
Energy of formation from the pure elements, meV per atom: 231

---

# 23
Here is a relaxed HfTlMoP2 crystal from the Alexandria database. Energies are from PBE.

a b c (Å): 4.987 5.190 4.987
angles (deg): 90.00 90.00 90.00
Element x y z (fractional)
P 0.500 0.000 0.000
P 0.000 0.000 0.500
Hf 0.000 0.000 0.000
Tl 0.500 0.500 0.500
Mo 0.000 0.500 0.000

Computed properties:
D(E_F), states/eV/f.u.: 5.3
Total magnetization, μB per cell: 2.8
Crystal system: tetragonal
Energy of formation from the pure elements, meV per atom: 884

---

# 24
Here is a relaxed Hf2MoPW crystal from the Alexandria database. Energies are from PBE.

a b c (Å): 5.059 4.491 5.059
angles (deg): 90.00 90.00 90.00
Element x y z (fractional)
Mo 0.500 0.500 0.500
Hf 0.000 0.000 0.500
W 0.000 0.000 0.000
P 0.000 0.500 0.000
Hf 0.500 0.000 0.000

Computed properties:
D(E_F), states/eV/f.u.: 6.0
Total magnetization, μB per cell: 2.4
Crystal system: tetragonal
Energy of formation from the pure elements, meV per atom: 1192

---

# 25
Here is a relaxed YHfMoP2 crystal from the Alexandria database. Energies are from PBE.

a b c (Å): 4.696 4.696 5.103
angles (deg): 90.00 90.00 90.00
Element x y z (fractional)
Y 0.500 0.500 0.500
P 0.500 0.000 0.000
P 0.000 0.500 0.000
Mo 0.000 0.000 0.000
Hf 0.000 0.000 0.500

Computed properties:
D(E_F), states/eV/f.u.: 4.2
Total magnetization, μB per cell: 0.0
Crystal system: tetragonal
Energy of formation from the pure elements, meV per atom: 183

---

# 26
Here is a relaxed HfPa2Mo crystal from the Alexandria database. Energies are from PBE.

a b c (Å): 3.329 3.329 8.242
angles (deg): 90.00 90.00 90.00
Element x y z (fractional)
Mo 0.500 0.500 0.000
Pa 0.000 0.000 0.219
Hf 0.500 0.500 0.500
Pa 0.000 0.000 0.781

Computed properties:
D(E_F), states/eV/f.u.: 8.0
Total magnetization, μB per cell: 0.0
Crystal system: tetragonal
Energy above the lowest structure with this stoichiometry, eV/atom: 0.000
Energy of formation from the pure elements, meV per atom: 215